No. 1
Density functional theory data (GGA-PBE) for a relaxed AgSeN2Cl crystal.

a = 3.710 Å, b = 3.710 Å, c = 7.924 Å
α = 90.00°, β = 90.00°, γ = 90.00°
Space group P4/mmm (No. 123)
One atom of each set of equivalent atoms:
Ag 0.000 0.000 0.000 x1
Se 0.500 0.500 0.000 x1
N 0.000 0.500 0.500 x2
Cl 0.500 0.500 0.500 x1

## Properties
* calculated total energy: -2.8955 eV/atom
* spin magnetization: 0.256 μB/atom
* formation energy from raw total energies: 2.07 eV per atom

=====

No. 2
Density functional theory data (GGA-PBE) for a relaxed TaTl2Si crystal.

a = 3.066 Å, b = 5.506 Å, c = 5.091 Å
α = 90.00°, β = 92.82°, γ = 90.00°
Space group P2/m (No. 10)
One atom of each set of equivalent atoms:
Ta 0.000 0.000 0.000 x1
Tl 0.252 0.500 0.250 x2
Si 0.500 0.000 0.500 x1

## Properties
* calculated total energy: -4.8211 eV/atom
* spin magnetization: 0.000 μB/atom
* formation energy from raw total energies: 0.68 eV per atom

=====

No. 3
Density functional theory data (GGA-PBE) for a relaxed BaIF6 crystal.

a = 9.652 Å, b = 7.233 Å, c = 5.666 Å
α = 90.00°, β = 112.59°, γ = 90.00°
Space group C2/m (No. 12)
One atom of each set of equivalent atoms:
Ba 0.000 0.000 0.000 x2
I 0.000 0.500 0.500 x2
F 0.068 0.268 0.751 x8
F 0.235 0.500 0.623 x4

## Properties
* calculated total energy: -4.0934 eV/atom
* spin magnetization: 0.125 μB/atom
* formation energy from raw total energies: -2.26 eV per atom

=====

Please write out number 1 again, unchanged.
Density functional theory data (GGA-PBE) for a relaxed AgSeN2Cl crystal.

a = 3.710 Å, b = 3.710 Å, c = 7.924 Å
α = 90.00°, β = 90.00°, γ = 90.00°
Space group P4/mmm (No. 123)
One atom of each set of equivalent atoms:
Ag 0.000 0.000 0.000 x1
Se 0.500 0.500 0.000 x1
N 0.000 0.500 0.500 x2
Cl 0.500 0.500 0.500 x1

## Properties
* calculated total energy: -2.8955 eV/atom
* spin magnetization: 0.256 μB/atom
* formation energy from raw total energies: 2.07 eV per atom

=====

What did the third record say?
Density functional theory data (GGA-PBE) for a relaxed BaIF6 crystal.

a = 9.652 Å, b = 7.233 Å, c = 5.666 Å
α = 90.00°, β = 112.59°, γ = 90.00°
Space group C2/m (No. 12)
One atom of each set of equivalent atoms:
Ba 0.000 0.000 0.000 x2
I 0.000 0.500 0.500 x2
F 0.068 0.268 0.751 x8
F 0.235 0.500 0.623 x4

## Properties
* calculated total energy: -4.0934 eV/atom
* spin magnetization: 0.125 μB/atom
* formation energy from raw total energies: -2.26 eV per atom

=====

> Among the records above, which one has the lowest spin magnetization?

TaTl2Si

=====

> Among the records above, which one has the highest calculated total energy?

AgSeN2Cl